(1)
DFT (PBE-GGA) results for a relaxed ZnCd2Br crystal.

Values from the calculation:
- Formation energy (no corrections): -105 meV/atom
- Symmetry: Pm, No. 6
- E: -1.299 eV per atom
- Polymorph energy (0 for the lowest one): 0.041 eV/atom
- M_tot: 0.000 μB/cell

a = 3.419 Å, b = 3.482 Å, c = 8.109 Å
α = 90.00°, β = 90.05°, γ = 90.00°
Atoms (fractional coordinates):
Zn 0.000 0.000 0.000
Cd 0.000 0.000 0.553
Cd 0.500 0.500 0.798
Br 0.998 0.500 0.244

---

(2)
DFT (PBE-GGA) results for a relaxed SrTiSeO2 crystal.

Values from the calculation:
- Formation energy (no corrections): -2511 meV/atom
- Symmetry: P4mm, No. 99
- E: -7.106 eV per atom
- M_tot: 0.000 μB/cell

a = 3.870 Å, b = 3.870 Å, c = 6.008 Å
α = 90.00°, β = 90.00°, γ = 90.00°
Atoms (fractional coordinates):
Sr 0.000 0.000 0.000
Ti 0.500 0.500 0.348
Se 0.500 0.500 0.747
O 0.000 0.500 0.270
O 0.500 0.000 0.270

---

(3)
DFT (PBE-GGA) results for a relaxed TlZnCo crystal.

Values from the calculation:
- ΔH_f (0 K): 0.3989 eV per atom
- Symmetry: F-43m, No. 216
- E: -3.183 eV per atom
- Polymorph energy (0 for the lowest one): 0.044 eV/atom
- M_tot: 0.000 μB/cell

a = 4.266 Å, b = 4.266 Å, c = 4.266 Å
α = 60.00°, β = 60.00°, γ = 60.00°
Atoms (fractional coordinates):
Tl 0.000 0.000 0.000
Zn 0.500 0.500 0.500
Co 0.250 0.250 0.250

---

(4)
DFT (PBE-GGA) results for a relaxed K2MgW crystal.

Values from the calculation:
- ΔH_f (0 K): 1.1476 eV per atom
- Symmetry: R-3m, No. 166
- E: -3.038 eV per atom
- M_tot: 0.335 μB/cell

a = 12.963 Å, b = 12.963 Å, c = 12.963 Å
α = 13.50°, β = 13.50°, γ = 13.50°
Atoms (fractional coordinates):
K 0.245 0.245 0.245
K 0.755 0.755 0.755
Mg 0.000 0.000 0.000
W 0.500 0.500 0.500

---

(5)
DFT (PBE-GGA) results for a relaxed Ho2ZnP crystal.

Values from the calculation:
- ΔH_f (0 K): -0.8030 eV per atom
- Symmetry: R3m, No. 160
- E: -4.763 eV per atom
- Polymorph energy (0 for the lowest one): 0.057 eV/atom
- M_tot: 0.000 μB/cell

a = 7.554 Å, b = 7.554 Å, c = 7.554 Å
α = 30.14°, β = 30.14°, γ = 30.14°
Atoms (fractional coordinates):
Ho 0.000 0.000 0.000
Ho 0.190 0.190 0.190
Zn 0.763 0.763 0.763
P 0.595 0.595 0.595

---

(6)
DFT (PBE-GGA) results for a relaxed Mo2AuI2 crystal.

Values from the calculation:
- Formation energy (no corrections): 1206 meV/atom
- Symmetry: P4/mbm, No. 127
- E: -4.402 eV per atom
- Polymorph energy (0 for the lowest one): 0.461 eV/atom
- M_tot: 0.000 μB/cell

a = 8.107 Å, b = 8.107 Å, c = 3.151 Å
α = 90.00°, β = 90.00°, γ = 90.00°
Atoms (fractional coordinates):
Mo 0.153 0.347 0.000
Mo 0.347 0.847 0.000
Mo 0.653 0.153 0.000
Mo 0.847 0.653 0.000
Au 0.000 0.000 0.500
Au 0.500 0.500 0.500
I 0.143 0.643 0.500
I 0.357 0.143 0.500
I 0.643 0.857 0.500
I 0.857 0.357 0.500

---

(7)
DFT (PBE-GGA) results for a relaxed Nd6Sb2TeSe3 crystal.

Values from the calculation:
- Formation energy (no corrections): -1564 meV/atom
- Symmetry: C2/m, No. 12
- E: -5.768 eV per atom
- M_tot: 0.000 μB/cell

a = 9.796 Å, b = 9.796 Å, c = 8.767 Å
α = 103.04°, β = 103.04°, γ = 25.78°
Atoms (fractional coordinates):
Nd 0.003 0.003 0.232
Nd 0.327 0.327 0.421
Nd 0.336 0.336 0.910
Nd 0.664 0.664 0.090
Nd 0.673 0.673 0.579
Nd 0.997 0.997 0.768
Sb 0.166 0.166 0.832
Sb 0.834 0.834 0.168
Te 0.500 0.500 0.500
Se 0.165 0.165 0.334
Se 0.500 0.500 0.000
Se 0.835 0.835 0.666

---

(8)
DFT (PBE-GGA) results for a relaxed Dy2HoAu2 crystal.

Values from the calculation:
- ΔH_f (0 K): -0.7049 eV per atom
- Symmetry: P4/mbm, No. 127
- E: -4.772 eV per atom
- M_tot: 0.000 μB/cell

a = 8.166 Å, b = 8.166 Å, c = 3.785 Å
α = 90.00°, β = 90.00°, γ = 90.00°
Atoms (fractional coordinates):
Dy 0.163 0.337 0.000
Dy 0.337 0.837 0.000
Dy 0.663 0.163 0.000
Dy 0.837 0.663 0.000
Ho 0.000 0.000 0.500
Ho 0.500 0.500 0.500
Au 0.133 0.633 0.500
Au 0.367 0.133 0.500
Au 0.633 0.867 0.500
Au 0.867 0.367 0.500

---

(9)
DFT (PBE-GGA) results for a relaxed Nd4ZnS3 crystal.

Values from the calculation:
- Formation energy (no corrections): -1593 meV/atom
- Symmetry: I4/mmm, No. 139
- E: -5.684 eV per atom
- M_tot: 0.000 μB/cell

a = 7.135 Å, b = 7.135 Å, c = 7.135 Å
α = 131.76°, β = 131.76°, γ = 70.61°
Atoms (fractional coordinates):
Nd 0.000 0.500 0.500
Nd 0.243 0.243 0.000
Nd 0.500 0.000 0.500
Nd 0.757 0.757 0.000
Zn 0.500 0.500 0.000
S 0.000 0.000 0.000
S 0.250 0.750 0.500
S 0.750 0.250 0.500

---

(10)
DFT (PBE-GGA) results for a relaxed MgAgHgRh crystal.

Values from the calculation:
- ΔH_f (0 K): -0.1350 eV per atom
- Symmetry: F-43m, No. 216
- E: -3.160 eV per atom
- Polymorph energy (0 for the lowest one): 0.064 eV/atom
- M_tot: 0.000 μB/cell

a = 4.632 Å, b = 4.632 Å, c = 4.632 Å
α = 60.00°, β = 60.00°, γ = 60.00°
Atoms (fractional coordinates):
Mg 0.000 0.000 0.000
Ag 0.750 0.750 0.750
Hg 0.500 0.500 0.500
Rh 0.250 0.250 0.250

---

(11)
DFT (PBE-GGA) results for a relaxed Pm3Sm2Dy6Y crystal.

Values from the calculation:
- ΔH_f (0 K): 0.0143 eV per atom
- Symmetry: C2/m, No. 12
- E: -4.800 eV per atom
- M_tot: 0.000 μB/cell

a = 6.217 Å, b = 6.217 Å, c = 11.857 Å
α = 95.00°, β = 95.00°, γ = 119.98°
Atoms (fractional coordinates):
Pm 0.000 0.000 0.000
Pm 0.333 0.667 0.000
Pm 0.667 0.333 0.000
Sm 0.167 0.833 0.500
Sm 0.833 0.167 0.500
Dy 0.083 0.417 0.251
Dy 0.250 0.250 0.749
Dy 0.417 0.083 0.251
Dy 0.583 0.917 0.749
Dy 0.750 0.750 0.251
Dy 0.917 0.583 0.749
Y 0.500 0.500 0.500

---

(12)
DFT (PBE-GGA) results for a relaxed TiGaGe crystal.

Values from the calculation:
- ΔH_f (0 K): -0.1564 eV per atom
- Symmetry: P-6m2, No. 187
- E: -5.336 eV per atom
- M_tot: 0.001 μB/cell

a = 4.568 Å, b = 4.568 Å, c = 2.687 Å
α = 90.00°, β = 90.00°, γ = 120.00°
Atoms (fractional coordinates):
Ti 0.000 0.000 0.000
Ga 0.333 0.667 0.500
Ge 0.667 0.333 0.500